[1]
Th3GaC: optimized geometry, PBE.

Cell: 8.111 6.320 9.851 Å, 90.00 98.52 90.00°
Atoms (fractional coordinates):
Th  0.076  0.078  0.180
Th  0.076  0.422  0.680
Th  0.208  0.590  0.057
Th  0.208  0.910  0.557
Th  0.350  0.122  0.901
Th  0.350  0.378  0.401
Th  0.650  0.622  0.599
Th  0.650  0.878  0.099
Th  0.792  0.090  0.443
Th  0.792  0.410  0.943
Th  0.924  0.578  0.320
Th  0.924  0.922  0.820
Ga  0.423  0.637  0.826
Ga  0.423  0.863  0.326
Ga  0.577  0.137  0.674
Ga  0.577  0.363  0.174
C  0.076  0.245  0.438
C  0.076  0.255  0.938
C  0.924  0.745  0.062
C  0.924  0.755  0.562

Properties
Space group: P2_1/c
DFT formation energy, kJ per mole of atoms: -22.6
Volume, Å³ per atom: 25.0

[2]
Li2In2Pd: optimized geometry, PBE.

Cell: 6.331 6.331 6.331 Å, 141.61 141.61 55.42°
Atoms (fractional coordinates):
Li  0.094  0.094  0.000
Li  0.906  0.906  0.000
In  0.250  0.750  0.500
In  0.750  0.250  0.500
Pd  0.500  0.500  0.000

Properties
Space group: I4/mmm
DFT formation energy, kJ per mole of atoms: 8.3
Volume, Å³ per atom: 19.4

[3]
CaNdCdIr: optimized geometry, PBE.

Cell: 5.138 5.138 5.138 Å, 60.00 60.00 60.00°
Atoms (fractional coordinates):
Ca  0.000  0.000  0.000
Nd  0.500  0.500  0.500
Cd  0.250  0.250  0.250
Ir  0.750  0.750  0.750

Properties
Space group: F-43m
DFT formation energy, kJ per mole of atoms: -33.0
Volume, Å³ per atom: 24.0

[4]
Ba2CdRu: optimized geometry, PBE.

Cell: 8.356 8.356 8.356 Å, 95.96 95.96 142.40°
Atoms (fractional coordinates):
Ba  0.375  0.199  0.324
Ba  0.801  0.125  0.176
Ba  0.875  0.051  0.676
Ba  0.949  0.625  0.824
Cd  0.250  0.750  0.500
Cd  0.500  0.500  0.000
Ru  0.000  0.000  0.000
Ru  0.750  0.250  0.500

Properties
Space group: I-42d
DFT formation energy, kJ per mole of atoms: 24.0
Volume, Å³ per atom: 42.1

[5]
SmPa2AgO8: optimized geometry, PBE.

Cell: 6.647 6.647 6.647 Å, 131.50 131.50 71.02°
Atoms (fractional coordinates):
Sm  0.000  0.000  0.000
Pa  0.500  0.500  0.000
Pa  0.750  0.250  0.500
Ag  0.250  0.750  0.500
O  0.124  0.144  0.516
O  0.124  0.607  0.979
O  0.393  0.372  0.516
O  0.393  0.876  0.021
O  0.628  0.144  0.021
O  0.628  0.607  0.484
O  0.856  0.372  0.979
O  0.856  0.876  0.484

Properties
ΔE_f (raw), eV/atom: -2.766
Space group: I-4m2
Volume, Å³ per atom: 13.4

[6]
Ba3Hg2Pt7: optimized geometry, PBE.

Cell: 9.736 9.736 9.736 Å, 34.59 34.59 34.59°
Atoms (fractional coordinates):
Ba  0.000  0.000  0.000
Ba  0.141  0.141  0.141
Ba  0.859  0.859  0.859
Hg  0.333  0.333  0.333
Hg  0.667  0.667  0.667
Pt  0.085  0.584  0.584
Pt  0.416  0.416  0.915
Pt  0.416  0.915  0.416
Pt  0.500  0.500  0.500
Pt  0.584  0.085  0.584
Pt  0.584  0.584  0.085
Pt  0.915  0.416  0.416

Properties
Space group: R-3m
DFT formation energy, kJ per mole of atoms: -55.6
Volume, Å³ per atom: 22.1

[7]
YTcCl: optimized geometry, PBE.

Cell: 3.395 3.395 7.124 Å, 90.00 90.00 120.00°
Atoms (fractional coordinates):
Y  0.000  0.000  0.000
Tc  0.333  0.667  0.705
Cl  0.667  0.333  0.272

Properties
Energy above the lowest structure with this stoichiometry, eV/atom: 0.9856
ΔE_f (raw), eV/atom: -0.082
Space group: P3m1
Volume, Å³ per atom: 23.7

[8]
ZrBRu3: optimized geometry, PBE.

Cell: 8.340 8.340 4.509 Å, 97.64 97.64 27.46°
Atoms (fractional coordinates):
Zr  0.078  0.078  0.303
Zr  0.922  0.922  0.697
B  0.335  0.335  0.946
B  0.665  0.665  0.054
Ru  0.194  0.194  0.901
Ru  0.301  0.301  0.483
Ru  0.447  0.447  0.248
Ru  0.553  0.553  0.752
Ru  0.699  0.699  0.517
Ru  0.806  0.806  0.099

Properties
Space group: C2/m
DFT formation energy, kJ per mole of atoms: -22.0
Volume, Å³ per atom: 14.3